Compound: LaPrIBr2N
Source: the Open Quantum Materials Database
Functional: PBE-GGA
Structure: optimized geometry

Unit cell a=9.3942 b=9.3942 c=11.9668 alpha=120.84 beta=120.84 gamma=25.58
Atoms (fractional coordinates):
Br1 0.9580 0.9580 0.7522
Br2 0.7812 0.7812 0.3836
Br3 0.2188 0.2188 0.6164
Br4 0.0420 0.0420 0.2478
La1 0.4200 0.4200 0.5436
La2 0.5800 0.5800 0.4564
N1 0.4289 0.4289 0.3537
N2 0.5711 0.5711 0.6463
Pr1 0.8677 0.8677 0.2228
Pr2 0.1323 0.1323 0.7772
I1 0.3414 0.3414 0.9855
I2 0.6586 0.6586 0.0145

Output
offset from the most stable computed form = 9 meV per atom